{"formula": "MgSb2Pd9", "functional": "PBE", "state": "optimized geometry", "lattice_angstrom": [[4.0261, 0.0000, 0.0000], [0.0000, 4.0261, 0.0000], [0.0000, 0.0000, 12.0582]], "species": ["Mg", "Sb", "Sb", "Pd", "Pd", "Pd", "Pd", "Pd", "Pd", "Pd", "Pd", "Pd"], "fractional_positions": [[0.0000, 0.0000, 0.0000], [0.0000, 0.0000, 0.3243], [0.0000, 0.0000, 0.6757], [0.5000, 0.5000, 0.0000], [0.5000, 0.5000, 0.3356], [0.5000, 0.5000, 0.6644], [0.5000, 0.0000, 0.1649], [0.5000, 0.0000, 0.5000], [0.5000, 0.0000, 0.8351], [0.0000, 0.5000, 0.1649], [0.0000, 0.5000, 0.5000], [0.0000, 0.5000, 0.8351]], "formation_energy_uncorrected_ev_per_atom": -0.443, "sg": "P4/mmm, No. 123"}


{"formula": "AcMgHO2", "functional": "PBE", "state": "optimized geometry", "lattice_angstrom": [[-0.8792, 0.3347, 3.9696], [1.2791, -3.8261, 0.6059], [3.4506, 1.2577, 0.6582]], "species": ["Ac", "Mg", "H", "O", "O"], "fractional_positions": [[0.5000, 0.5000, 0.5009], [0.0000, 0.0000, 0.0001], [0.0000, 0.0000, 0.5000], [0.0000, 0.5000, 0.9995], [0.5000, 0.0000, 0.9995]], "sg": "P4mm, No. 99", "e_tot_ev_per_cell": -30.42}


{"formula": "TaTiBeCl2", "functional": "PBE", "state": "optimized geometry", "lattice_angstrom": [[4.1642, 0.0000, 0.0000], [0.0000, 5.3615, 0.0000], [0.0000, 0.0000, 4.1642]], "species": ["Cl", "Cl", "Ti", "Be", "Ta"], "fractional_positions": [[0.0000, 0.0000, 0.5000], [0.5000, 0.0000, 0.0000], [0.0000, 0.5000, 0.0000], [0.0000, 0.0000, 0.0000], [0.5000, 0.5000, 0.5000]], "formation_energy_uncorrected_ev_per_atom": 0.894, "sg": "P4/mmm, No. 123"}


{"formula": "Pr3LuO", "functional": "PBE", "state": "optimized geometry", "lattice_angstrom": [[-3.0535, 3.6022, -1.9712], [-0.2359, -2.6063, -4.3973], [-4.0995, -2.5331, 1.7213]], "species": ["Pr", "Pr", "Pr", "Lu", "O"], "fractional_positions": [[0.0000, 0.5000, 0.0000], [0.0000, 0.0000, 0.5000], [0.5000, 0.0000, 0.0000], [0.5000, 0.5000, 0.5000], [0.0000, 0.0000, 0.0000]], "formation_energy_uncorrected_ev_per_atom": -1.102, "sg": "Pm-3m, No. 221"}


{"formula": "Pr2MnSiPd6", "functional": "PBE", "state": "optimized geometry", "lattice_angstrom": [[5.5562, 0.0342, 0.0085], [-0.0513, 8.3394, 0.1215], [2.7449, 4.4049, 4.3754]], "species": ["Pr", "Pr", "Mn", "Si", "Pd", "Pd", "Pd", "Pd", "Pd", "Pd"], "fractional_positions": [[0.7404, 0.2663, 0.5193], [0.2596, 0.7337, 0.4807], [0.0000, 0.0000, 0.0000], [0.5000, 0.5000, 0.0000], [0.2504, 0.1036, 0.4995], [0.7385, 0.7260, 0.0232], [0.2382, 0.7259, 0.0234], [0.7618, 0.2741, 0.9766], [0.2615, 0.2740, 0.9768], [0.7496, 0.8964, 0.5005]], "formation_energy_uncorrected_ev_per_atom": -0.568, "sg": "C2/m, No. 12"}


{"formula": "Dy3Mg2Tl4", "functional": "PBE", "state": "optimized geometry", "lattice_angstrom": [[-3.8590, 2.3348, -1.9878], [-1.2670, -5.9370, 1.5973], [0.1187, 6.2017, 7.0539]], "species": ["Dy", "Dy", "Dy", "Mg", "Mg", "Tl", "Tl", "Tl", "Tl"], "fractional_positions": [[0.6487, 0.2975, 0.6819], [0.0000, 0.0000, 0.0000], [0.3513, 0.7025, 0.3181], [0.6516, 0.3033, 0.3261], [0.3484, 0.6967, 0.6739], [0.6915, 0.3830, 0.0460], [0.3085, 0.6170, 0.9540], [0.9481, 0.8962, 0.6248], [0.0519, 0.1038, 0.3752]], "sg": "C2/m, No. 12", "e_tot_ev_per_cell": -28.67}


{"formula": "GaSb2MoI", "functional": "PBE", "state": "optimized geometry", "lattice_angstrom": [[-3.8260, -1.4467, 3.1745], [3.4760, -1.9821, 3.2860], [0.3485, 5.3484, 2.8575]], "species": ["I", "Sb", "Sb", "Mo", "Ga"], "fractional_positions": [[0.0000, 0.0000, 0.5000], [0.0000, 0.5000, 0.0000], [0.5000, 0.0000, 0.0000], [0.0000, 0.0000, 0.0000], [0.5000, 0.5000, 0.5000]], "formation_energy_uncorrected_ev_per_atom": 0.458, "sg": "P4/mmm, No. 123"}


{"formula": "Nd4SbTe2Se", "functional": "PBE", "state": "optimized geometry", "lattice_angstrom": [[-4.1033, -1.4849, -0.6872], [2.1288, -7.0496, 2.5209], [-1.1222, -0.4004, 7.5649]], "species": ["Nd", "Nd", "Nd", "Nd", "Sb", "Te", "Te", "Se"], "fractional_positions": [[0.0000, 0.7260, 0.7677], [0.0000, 0.2740, 0.2323], [0.5000, 0.7329, 0.2454], [0.5000, 0.2671, 0.7546], [0.0000, 0.5000, 0.5000], [0.0000, 0.0000, 0.0000], [0.5000, 0.0000, 0.5000], [0.5000, 0.5000, 0.0000]], "formation_energy_uncorrected_ev_per_atom": -1.487, "sg": "P2/m, No. 10"}


{"formula": "KAlSbI2", "functional": "PBE", "state": "optimized geometry", "lattice_angstrom": [[6.5448, 0.0000, 0.0000], [0.0000, 6.5448, 0.0000], [0.0000, 0.0000, 6.5006]], "species": ["I", "I", "Sb", "K", "Al"], "fractional_positions": [[0.0000, 0.5000, 0.0000], [0.5000, 0.0000, 0.0000], [0.0000, 0.0000, 0.5000], [0.0000, 0.0000, 0.0000], [0.5000, 0.5000, 0.5000]], "formation_energy_uncorrected_ev_per_atom": 0.374, "sg": "P4/mmm, No. 123"}


{"formula": "LaSmRh2", "functional": "PBE", "state": "optimized geometry", "lattice_angstrom": [[3.5805, 0.0000, 0.0000], [0.0000, 4.9915, 0.0000], [0.0000, 0.0000, 4.9915]], "species": ["Rh", "Rh", "Sm", "La"], "fractional_positions": [[0.0000, 0.0000, 0.5000], [0.0000, 0.5000, 0.0000], [0.5000, 0.5000, 0.5000], [0.5000, 0.0000, 0.0000]], "sg": "P4/mmm, No. 123", "e_tot_ev_per_cell": -27.06}


{"formula": "Tl4FeCu", "functional": "PBE", "state": "optimized geometry", "lattice_angstrom": [[0.0000, 4.4102, 4.4102], [4.4102, 0.0000, 4.4102], [4.4102, 4.4102, 0.0000]], "species": ["Tl", "Tl", "Tl", "Tl", "Fe", "Cu"], "fractional_positions": [[0.3751, 0.8746, 0.3751], [0.8746, 0.3751, 0.3751], [0.3751, 0.3751, 0.8746], [0.3751, 0.3751, 0.3751], [0.0000, 0.0000, 0.0000], [0.7500, 0.7500, 0.7500]], "sg": "F-43m, No. 216", "e_tot_ev_per_cell": -16.54}


{"formula": "HfSc2HAu", "functional": "PBE", "state": "optimized geometry", "lattice_angstrom": [[-0.5533, 0.0451, -4.3705], [-3.4377, -2.7251, 0.4070], [-2.6525, 3.4015, 0.3709]], "species": ["Sc", "Sc", "Hf", "Au", "H"], "fractional_positions": [[0.0000, 0.5000, 0.0000], [0.5000, 0.0000, 0.0000], [0.0000, 0.0000, 0.5000], [0.5000, 0.5000, 0.5000], [0.0000, 0.0000, 0.0000]], "sg": "P4/mmm, No. 123", "e_tot_ev_per_cell": -30.99}


{"formula": "InTcBr2", "functional": "PBE", "state": "optimized geometry", "lattice_angstrom": [[7.7782, 0.0637, 0.0019], [5.6292, 5.3681, -0.0019], [-6.3233, -3.6546, 2.6763]], "species": ["Tc", "Br", "Br", "In"], "fractional_positions": [[0.2500, 0.7500, 0.5000], [0.1060, 0.1060, 0.0000], [0.3940, 0.3940, 0.0000], [0.7500, 0.2500, 0.5000]], "formation_energy_uncorrected_ev_per_atom": 0.021, "sg": "Immm, No. 71"}


{"formula": "PrPdO2", "functional": "PBE", "state": "optimized geometry", "lattice_angstrom": [[-2.0713, 2.5728, -1.3901], [-2.9829, 1.0162, 1.7063], [1.5121, 5.4279, 3.1737]], "species": ["Pr", "O", "O", "Pd"], "fractional_positions": [[0.0000, 0.0000, 0.0000], [0.1258, 0.1258, 0.6225], [0.8742, 0.8742, 0.3775], [0.5000, 0.5000, 0.5000]], "formation_energy_uncorrected_ev_per_atom": -0.773, "sg": "R-3m, No. 166"}


{"formula": "Th2Ga3Ni12Pt", "functional": "PBE", "state": "optimized geometry", "lattice_angstrom": [[6.2022, -1.3507, -0.9580], [1.8885, 6.0601, -0.9580], [1.8885, 1.0993, 6.0361]], "species": ["Th", "Th", "Ga", "Ga", "Ga", "Ni", "Ni", "Ni", "Ni", "Ni", "Ni", "Ni", "Ni", "Ni", "Ni", "Ni", "Ni", "Pt"], "fractional_positions": [[0.6665, 0.6665, 0.6665], [0.3335, 0.3335, 0.3335], [0.5000, 0.0000, 0.0000], [0.0000, 0.5000, 0.0000], [0.0000, 0.0000, 0.5000], [0.3965, 0.3965, 0.8899], [0.8003, 0.8003, 0.2921], [0.2921, 0.8003, 0.8003], [0.8899, 0.3965, 0.3965], [0.8003, 0.2921, 0.8003], [0.3965, 0.8899, 0.3965], [0.6035, 0.6035, 0.1101], [0.1997, 0.1997, 0.7079], [0.7079, 0.1997, 0.1997], [0.1101, 0.6035, 0.6035], [0.1997, 0.7079, 0.1997], [0.6035, 0.1101, 0.6035], [0.0000, 0.0000, 0.0000]], "sg": "R-3m, No. 166", "e_tot_ev_per_cell": -101.76}


{"formula": "Ce4Tl3H2", "functional": "PBE", "state": "optimized geometry", "lattice_angstrom": [[0.0111, -6.1186, 2.5357], [8.1347, -2.3457, 0.0439], [3.2386, 0.8499, 7.7761]], "species": ["Ce", "Ce", "Ce", "Ce", "Ce", "Ce", "Ce", "Ce", "Tl", "Tl", "Tl", "Tl", "Tl", "Tl", "H", "H", "H", "H"], "fractional_positions": [[0.4299, 0.8968, 0.3538], [0.0701, 0.6462, 0.1032], [0.5701, 0.1032, 0.6462], [0.9299, 0.3538, 0.8968], [0.1183, 0.2049, 0.3812], [0.3817, 0.6188, 0.7951], [0.8817, 0.7951, 0.6188], [0.6183, 0.3812, 0.2049], [0.9261, 0.9981, 0.2128], [0.5739, 0.7872, 0.0019], [0.0739, 0.0019, 0.7872], [0.4261, 0.2128, 0.9981], [0.2500, 0.4967, 0.5033], [0.7500, 0.5033, 0.4967], [0.4684, 0.1431, 0.3925], [0.0316, 0.6075, 0.8569], [0.5316, 0.8569, 0.6075], [0.9684, 0.3925, 0.1431]], "sg": "C2/c, No. 15", "e_tot_ev_per_cell": -79.55}


{"formula": "CaNb", "functional": "PBE", "state": "optimized geometry", "lattice_angstrom": [[-0.6136, -1.0758, -3.9840], [-4.4224, -2.9149, 1.4683], [-8.9949, 12.6272, -2.0244]], "species": ["Ca", "Ca", "Ca", "Ca", "Ca", "Ca", "Nb", "Nb", "Nb", "Nb", "Nb", "Nb"], "fractional_positions": [[0.0000, 0.0000, 0.6784], [0.0000, 0.0000, 0.3216], [0.5000, 0.5000, 0.1784], [0.5000, 0.5000, 0.8216], [0.5000, 0.0000, 0.5000], [0.0000, 0.5000, 0.0000], [0.0000, 0.0000, 0.9045], [0.0000, 0.0000, 0.0955], [0.5000, 0.5000, 0.4045], [0.5000, 0.5000, 0.5955], [0.0000, 0.5000, 0.5000], [0.5000, 0.0000, 0.0000]], "sg": "Immm, No. 71", "e_tot_ev_per_cell": -65.00}


{"formula": "LiAcScSi", "functional": "PBE", "state": "optimized geometry", "lattice_angstrom": [[5.1148, 0.0000, 0.0000], [2.5574, 4.4296, 0.0000], [2.5574, 1.4765, 4.1762]], "species": ["Sc", "Ac", "Si", "Li"], "fractional_positions": [[0.5000, 0.5000, 0.5000], [0.0000, 0.0000, 0.0000], [0.7500, 0.7500, 0.7500], [0.2500, 0.2500, 0.2500]], "formation_energy_uncorrected_ev_per_atom": -0.192, "sg": "F-43m, No. 216"}


{"formula": "Ru2IO", "functional": "PBE", "state": "optimized geometry", "lattice_angstrom": [[-0.8437, -0.5716, -4.5518], [3.9748, -2.4020, -0.4351], [-1.6355, -7.0172, -1.2057]], "species": ["I", "I", "Ru", "Ru", "Ru", "Ru", "O", "O"], "fractional_positions": [[0.0000, 0.0000, 0.0000], [0.7500, 0.2500, 0.5000], [0.4869, 0.1250, 0.2500], [0.2631, 0.6250, 0.2500], [0.3750, 0.5131, 0.7500], [0.8750, 0.7369, 0.7500], [0.5000, 0.5000, 0.0000], [0.2500, 0.7500, 0.5000]], "formation_energy_uncorrected_ev_per_atom": 0.284, "sg": "I-42d, No. 122"}


{"formula": "LiRuO2", "functional": "PBE", "state": "optimized geometry", "lattice_angstrom": [[2.7872, 0.0000, 0.0000], [0.0000, 5.0235, 0.0000], [0.0000, 0.0000, 5.1546]], "species": ["Ru", "Ru", "O", "O", "O", "O", "Li", "Li"], "fractional_positions": [[0.5000, 0.5000, 0.5000], [0.0000, 0.0000, 0.0000], [0.0000, 0.6704, 0.7518], [0.0000, 0.3296, 0.2482], [0.5000, 0.1704, 0.7482], [0.5000, 0.8296, 0.2518], [0.0000, 0.0000, 0.5000], [0.5000, 0.5000, 0.0000]], "formation_energy_uncorrected_ev_per_atom": -1.210, "sg": "Pnnm, No. 58"}


Number 1: magnetization 0.00 μB/atom. Number 2: magnetization 0.00 μB/atom. Number 3: magnetization 0.48 μB/atom. Number 4: magnetization 0.00 μB/atom. Number 5: magnetization 0.39 μB/atom. Number 6: magnetization 0.00 μB/atom. Number 7: magnetization 0.11 μB/atom. Number 8: magnetization 0.00 μB/atom. Number 9: magnetization 0.60 μB/atom. Number 10: magnetization 0.00 μB/atom. Number 11: magnetization 0.56 μB/atom. Number 12: magnetization 0.00 μB/atom. Number 13: magnetization 0.07 μB/atom. Number 14: magnetization 0.00 μB/atom. Number 15: magnetization 0.00 μB/atom. Number 16: magnetization 0.29 μB/atom. Number 17: magnetization 0.00 μB/atom. Number 18: magnetization 0.00 μB/atom. Number 19: magnetization 0.00 μB/atom. Number 20: magnetization 0.00 μB/atom.